Here is NaZrCl4 after structural relaxation from Alexandria. Energies are from PBE.

Values from the calculation:
The value obtained for the theoretical density is 2.5 g/cm³. The formation energy without anion corrections is -165 kJ per mole of atoms. Its energy is -4.589 eV/atom. The calculation puts the density of states at the Fermi level at 0.33 states/eV/atom. The value obtained for the relative energy among the computed polymorphs is 0.0 kJ per mole of atoms.

a = 6.744 Å, b = 3.544 Å, c = 7.197 Å
α = 90.00°, β = 93.41°, γ = 90.00°
Space group P2/m (No. 10)
Inequivalent atoms, fractional coordinates:
Na 0.000 0.000 0.000 [1 per cell]
Zr 0.000 0.500 0.500 [1 per cell]
Cl 0.213 0.500 0.798 [2 per cell]
Cl 0.231 0.000 0.356 [2 per cell]